! Lu2ZnFe (PBE-GGA, optimized geometry); values from VASP
! M_tot (μB/cell): 2.30
! Formation energy from the elements (eV/atom): 0.343
! D(E_F) (states/eV/f.u.): 3.233
&SYSTEM
  ibrav = 0, nat = 12, ntyp = 3
/
ATOMIC_SPECIES
Lu 174.97 Lu.upf
Zn 65.41 Zn.upf
Fe 55.84 Fe.upf
CELL_PARAMETERS angstrom
3.417 0.000 0.000
-1.709 2.959 0.000
0.000 0.000 28.737
ATOMIC_POSITIONS crystal
Lu 0.000 0.000 0.105
Lu 0.000 0.000 0.895
Lu 0.333 0.667 0.561
Lu 0.333 0.667 0.772
Lu 0.667 0.333 0.228
Lu 0.667 0.333 0.439
Zn 0.000 0.000 0.000
Zn 0.333 0.667 0.667
Zn 0.667 0.333 0.333
Fe 0.000 0.000 0.500
Fe 0.333 0.667 0.167
Fe 0.667 0.333 0.833

! Lu2ZnFe (PBE-GGA, optimized geometry); values from VASP
! M_tot (μB/cell): 0.00
! Formation energy from the elements (eV/atom): -0.179
! D(E_F) (states/eV/f.u.): 3.725
&SYSTEM
  ibrav = 0, nat = 4, ntyp = 3
/
ATOMIC_SPECIES
Lu 174.97 Lu.upf
Zn 65.41 Zn.upf
Fe 55.84 Fe.upf
CELL_PARAMETERS angstrom
3.318 0.000 0.000
0.000 3.318 0.000
0.000 0.000 6.997
ATOMIC_POSITIONS crystal
Lu 0.000 0.000 0.224
Lu 0.000 0.000 0.776
Zn 0.500 0.500 0.500
Fe 0.500 0.500 0.000

! Lu2ZnFe (PBE-GGA, optimized geometry); values from VASP
! M_tot (μB/cell): 3.54
! Formation energy from the elements (eV/atom): -0.119
! D(E_F) (states/eV/f.u.): 4.948
&SYSTEM
  ibrav = 0, nat = 16, ntyp = 3
/
ATOMIC_SPECIES
Lu 174.97 Lu.upf
Zn 65.41 Zn.upf
Fe 55.84 Fe.upf
CELL_PARAMETERS angstrom
6.751 0.000 0.000
0.000 6.751 0.000
0.000 0.000 6.751
ATOMIC_POSITIONS crystal
Lu 0.250 0.250 0.250
Lu 0.250 0.250 0.750
Lu 0.250 0.750 0.250
Lu 0.250 0.750 0.750
Lu 0.750 0.250 0.250
Lu 0.750 0.250 0.750
Lu 0.750 0.750 0.250
Lu 0.750 0.750 0.750
Zn 0.000 0.000 0.000
Zn 0.000 0.500 0.500
Zn 0.500 0.000 0.500
Zn 0.500 0.500 0.000
Fe 0.000 0.000 0.500
Fe 0.000 0.500 0.000
Fe 0.500 0.000 0.000
Fe 0.500 0.500 0.500

! LuZrZnFe (PBE-GGA, optimized geometry); values from VASP
! M_tot (μB/cell): 0.82
! Formation energy from the elements (eV/atom): -0.142
! D(E_F) (states/eV/f.u.): 2.138
&SYSTEM
  ibrav = 0, nat = 16, ntyp = 4
/
ATOMIC_SPECIES
Lu 174.97 Lu.upf
Zr 91.22 Zr.upf
Zn 65.41 Zn.upf
Fe 55.84 Fe.upf
CELL_PARAMETERS angstrom
6.626 0.000 0.000
0.000 6.626 0.000
0.000 0.000 6.626
ATOMIC_POSITIONS crystal
Lu 0.000 0.000 0.000
Lu 0.000 0.500 0.500
Lu 0.500 0.000 0.500
Lu 0.500 0.500 0.000
Zr 0.000 0.000 0.500
Zr 0.000 0.500 0.000
Zr 0.500 0.000 0.000
Zr 0.500 0.500 0.500
Zn 0.250 0.250 0.250
Zn 0.250 0.750 0.750
Zn 0.750 0.250 0.750
Zn 0.750 0.750 0.250
Fe 0.250 0.250 0.750
Fe 0.250 0.750 0.250
Fe 0.750 0.250 0.250
Fe 0.750 0.750 0.750

! LuZr2Fe (PBE-GGA, optimized geometry); values from VASP
! M_tot (μB/cell): 2.11
! Formation energy from the elements (eV/atom): 0.036
! D(E_F) (states/eV/f.u.): 6.286
&SYSTEM
  ibrav = 0, nat = 4, ntyp = 3
/
ATOMIC_SPECIES
Lu 174.97 Lu.upf
Zr 91.22 Zr.upf
Fe 55.84 Fe.upf
CELL_PARAMETERS angstrom
3.254 0.000 0.000
0.000 3.254 0.000
0.000 0.000 7.964
ATOMIC_POSITIONS crystal
Lu 0.000 0.000 0.000
Zr 0.500 0.500 0.306
Zr 0.500 0.500 0.694
Fe 0.000 0.000 0.500

! LuZr2Fe (PBE-GGA, optimized geometry); values from VASP
! M_tot (μB/cell): 0.26
! Formation energy from the elements (eV/atom): 0.310
! D(E_F) (states/eV/f.u.): 4.644
&SYSTEM
  ibrav = 0, nat = 12, ntyp = 3
/
ATOMIC_SPECIES
Lu 174.97 Lu.upf
Zr 91.22 Zr.upf
Fe 55.84 Fe.upf
CELL_PARAMETERS angstrom
3.259 0.000 0.000
-1.630 2.823 0.000
0.000 0.000 29.527
ATOMIC_POSITIONS crystal
Lu 0.000 0.000 0.000
Lu 0.333 0.667 0.667
Lu 0.667 0.333 0.333
Zr 0.000 0.000 0.108
Zr 0.000 0.000 0.892
Zr 0.333 0.667 0.559
Zr 0.333 0.667 0.774
Zr 0.667 0.333 0.226
Zr 0.667 0.333 0.441
Fe 0.000 0.000 0.500
Fe 0.333 0.667 0.167
Fe 0.667 0.333 0.833

! LuZrFe2 (PBE-GGA, optimized geometry); values from VASP
! M_tot (μB/cell): 0.43
! Formation energy from the elements (eV/atom): -0.067
! D(E_F) (states/eV/f.u.): 5.139
&SYSTEM
  ibrav = 0, nat = 4, ntyp = 3
/
ATOMIC_SPECIES
Lu 174.97 Lu.upf
Zr 91.22 Zr.upf
Fe 55.84 Fe.upf
CELL_PARAMETERS angstrom
3.206 0.000 0.000
0.000 3.206 0.000
0.000 0.000 6.448
ATOMIC_POSITIONS crystal
Lu 0.000 0.000 0.000
Zr 0.000 0.000 0.500
Fe 0.500 0.500 0.267
Fe 0.500 0.500 0.733

! Lu2ZrFe (PBE-GGA, optimized geometry); values from VASP
! M_tot (μB/cell): 0.00
! Formation energy from the elements (eV/atom): 0.075
! D(E_F) (states/eV/f.u.): 4.737
&SYSTEM
  ibrav = 0, nat = 4, ntyp = 3
/
ATOMIC_SPECIES
Lu 174.97 Lu.upf
Zr 91.22 Zr.upf
Fe 55.84 Fe.upf
CELL_PARAMETERS angstrom
3.266 0.000 0.000
0.000 3.266 0.000
0.000 0.000 8.083
ATOMIC_POSITIONS crystal
Lu 0.000 0.000 0.195
Lu 0.000 0.000 0.805
Zr 0.500 0.500 0.500
Fe 0.500 0.500 0.000